# EuLuHg

Crystalline EuLuHg at its relaxed geometry (PBE-GGA, Alexandria via LeMat-Bulk).

Geometry as CIF:
```
data_EuLuHg
_chemical_formula_sum 'Eu1 Lu1 Hg1'
_cell_length_a 5.1812
_cell_length_b 5.1812
_cell_length_c 3.8983
_cell_angle_alpha 90.00
_cell_angle_beta 90.00
_cell_angle_gamma 120.00
_space_group_name_H-M_alt 'P -6 m 2'
_space_group_IT_number 187
_space_group_name_Hall 'P -6 2'
loop_
_atom_site_label
_atom_site_type_symbol
_atom_site_fract_x
_atom_site_fract_y
_atom_site_fract_z
Eu1 Eu 0.0000 0.0000 0.0000
Lu1 Lu 0.3333 0.6667 0.5000
Hg1 Hg 0.6667 0.3333 0.5000
```

## Properties
For the energy of formation, the calculation gives -0.19 eV per atom. The calculated density comes out at 9.67 g/cm3. The calculation puts the energy above the most stable polymorph in this dataset at 92.3 meV/atom. The density of states at the Fermi level comes out at 2.38 states/eV/cell.